DFT (PBE) results for an optimized crystal structure of RbAu.

Computed properties:
space group = Pm-3n
formation energy from the elements = -30 kJ/mol of formula units
total moment = 0.000 μB per atom

Unit cell a=9.6672 b=9.6672 c=9.6672 alpha=90.00 beta=90.00 gamma=90.00
Atoms (fractional coordinates):
Rb  0.0000  0.5000  0.7500
Rb  0.2500  0.0000  0.5000
Rb  0.7500  0.0000  0.5000
Rb  0.0000  0.5000  0.2500
Rb  0.5000  0.7500  0.0000
Rb  0.5000  0.2500  0.0000
Au  0.0000  0.2500  0.5000
Au  0.7500  0.5000  0.0000
Au  0.2500  0.5000  0.0000
Au  0.0000  0.7500  0.5000
Au  0.5000  0.0000  0.7500
Au  0.5000  0.0000  0.2500